## RbYCuCl5 (PBE-GGA)

Data for a relaxed structure of RbYCuCl5.

The structure belongs to space group C2/c (No. 15); the cell edges are 8.869, 11.939 and 10.019 Å and the angles 90.00°, 112.88° and 90.00°. The inequivalent atoms are Rb at (0.000, 0.153, 0.250), Y at (0.000, 0.500, 0.000), Cu at (0.000, 0.190, 0.750), Cl at (0.000, 0.425, 0.250), Cl at (0.101, 0.298, 0.608) and Cl at (0.193, 0.070, 0.922).

The volume is 977 Å³/cell. The calculation puts the density of states at the Fermi level at 0.000 states/eV per atom. Its uncorrected formation energy is -1.75 eV per atom.